Version P
Material: Nd8SmTm6
Method: DFT, GGA-PBE
State: relaxed

Cell and atoms, written as CIF:
```
data_Nd8SmTm6
_space_group_name_H-M_alt 'P 1'
_space_group_IT_number 1
_cell_length_a 6.500
_cell_length_b 9.454
_cell_length_c 9.454
_cell_angle_alpha 120.00
_cell_angle_beta 90.00
_cell_angle_gamma 90.00
loop_
_space_group_symop_operation_xyz
'x,y,z'
loop_
_atom_site_label
_atom_site_fract_x
_atom_site_fract_y
_atom_site_fract_z
Nd1 0.172 0.959 0.713
Nd2 0.828 0.713 0.754
Nd3 0.127 0.667 0.333
Nd4 0.828 0.041 0.287
Nd5 0.873 0.333 0.667
Nd6 0.828 0.246 0.959
Nd7 0.172 0.754 0.041
Nd8 0.172 0.287 0.246
Sm1 0.500 0.000 0.000
Tm1 0.337 0.346 0.902
Tm2 0.337 0.098 0.444
Tm3 0.663 0.444 0.346
Tm4 0.663 0.654 0.098
Tm5 0.663 0.902 0.556
Tm6 0.337 0.556 0.654
```

Output
Theoretical density (kg/m³): 7651
Total magnetization (μB per formula unit): 0.001

Version Q
Material: Nd8SmTm6
Method: DFT, GGA-PBE
State: relaxed

Cell and atoms, written as CIF:
```
data_Nd8SmTm6
_space_group_name_H-M_alt 'P 1'
_space_group_IT_number 1
_cell_length_a 9.250
_cell_length_b 9.250
_cell_length_c 8.637
_cell_angle_alpha 57.62
_cell_angle_beta 57.62
_cell_angle_gamma 60.00
loop_
_space_group_symop_operation_xyz
'x,y,z'
loop_
_atom_site_label
_atom_site_fract_x
_atom_site_fract_y
_atom_site_fract_z
Tm1 0.259 0.552 0.081
Tm2 0.108 0.259 0.081
Tm3 0.892 0.741 0.919
Tm4 0.552 0.108 0.081
Tm5 0.741 0.448 0.919
Tm6 0.448 0.892 0.919
Nd1 0.913 0.333 0.526
Nd2 0.574 0.574 0.279
Nd3 0.228 0.913 0.526
Nd4 0.667 0.772 0.474
Nd5 0.772 0.087 0.474
Nd6 0.087 0.667 0.474
Nd7 0.333 0.228 0.526
Nd8 0.426 0.426 0.721
Sm1 0.000 0.000 0.000
```

Output
Theoretical density (kg/m³): 7653
Total magnetization (μB per formula unit): 0.000

Which is most stable? The ranking, best first, is version Q, version P.

Version P
Material: Nd2Sm5Tm3
Method: DFT, GGA-PBE
State: relaxed

Cell and atoms, written as CIF:
```
data_Nd2Sm5Tm3
_space_group_name_H-M_alt 'P 1'
_space_group_IT_number 1
_cell_length_a 9.539
_cell_length_b 9.605
_cell_length_c 11.181
_cell_angle_alpha 125.67
_cell_angle_beta 125.54
_cell_angle_gamma 68.89
loop_
_space_group_symop_operation_xyz
'x,y,z'
loop_
_atom_site_label
_atom_site_fract_x
_atom_site_fract_y
_atom_site_fract_z
Tm1 0.225 0.975 0.949
Tm2 0.005 0.777 0.237
Tm3 0.268 0.540 0.763
Tm4 0.995 0.223 0.763
Tm5 0.732 0.460 0.237
Tm6 0.775 0.025 0.051
Nd1 0.785 0.019 0.754
Nd2 0.469 0.735 0.754
Nd3 0.215 0.981 0.246
Nd4 0.531 0.265 0.246
Sm1 0.019 0.769 0.537
Sm2 0.717 0.467 0.935
Sm3 0.399 0.155 0.771
Sm4 0.283 0.533 0.065
Sm5 0.981 0.231 0.463
Sm6 0.601 0.845 0.229
Sm7 0.872 0.616 0.771
Sm8 0.128 0.384 0.229
Sm9 0.479 0.729 0.459
Sm10 0.521 0.271 0.541
```

Output
Theoretical density (kg/m³): 7591
Total magnetization (μB per formula unit): 0.000

Version Q
Material: Nd2Sm5Tm3
Method: DFT, GGA-PBE
State: relaxed

Cell and atoms, written as CIF:
```
data_Nd2Sm5Tm3
_space_group_name_H-M_alt 'P 1'
_space_group_IT_number 1
_cell_length_a 6.835
_cell_length_b 12.384
_cell_length_c 12.384
_cell_angle_alpha 44.71
_cell_angle_beta 73.98
_cell_angle_gamma 73.98
loop_
_space_group_symop_operation_xyz
'x,y,z'
loop_
_atom_site_label
_atom_site_fract_x
_atom_site_fract_y
_atom_site_fract_z
Nd1 0.122 0.777 0.978
Nd2 0.378 0.022 0.223
Nd3 0.622 0.978 0.777
Nd4 0.878 0.223 0.022
Tm1 0.750 0.000 0.000
Tm2 0.250 0.000 0.000
Tm3 0.120 0.127 0.632
Tm4 0.620 0.632 0.127
Tm5 0.380 0.368 0.873
Tm6 0.880 0.873 0.368
Sm1 0.626 0.281 0.467
Sm2 0.750 0.500 0.500
Sm3 0.250 0.500 0.500
Sm4 0.999 0.751 0.751
Sm5 0.001 0.249 0.249
Sm6 0.126 0.467 0.281
Sm7 0.874 0.533 0.719
Sm8 0.499 0.751 0.751
Sm9 0.374 0.719 0.533
Sm10 0.501 0.249 0.249
```

Output
Theoretical density (kg/m³): 7300
Total magnetization (μB per formula unit): 0.000

Which is most stable? The ranking, best first, is version P, version Q.

Version P
Material: NdSmYTm
Method: DFT, GGA-PBE
State: relaxed

Cell and atoms, written as CIF:
```
data_NdSmYTm
_space_group_name_H-M_alt 'P 1'
_space_group_IT_number 1
_cell_length_a 3.719
_cell_length_b 5.932
_cell_length_c 6.927
_cell_angle_alpha 115.35
_cell_angle_beta 74.44
_cell_angle_gamma 90.00
loop_
_space_group_symop_operation_xyz
'x,y,z'
loop_
_atom_site_label
_atom_site_fract_x
_atom_site_fract_y
_atom_site_fract_z
Nd1 0.662 0.401 0.801
Tm1 0.920 0.643 0.286
Sm1 0.180 0.882 0.764
Y1 0.424 0.139 0.278
```

Output
Theoretical density (kg/m³): 6955
Total magnetization (μB per formula unit): 0.000

Version Q
Material: NdSmYTm
Method: DFT, GGA-PBE
State: relaxed

Cell and atoms, written as CIF:
```
data_NdSmYTm
_space_group_name_H-M_alt 'P 1'
_space_group_IT_number 1
_cell_length_a 5.723
_cell_length_b 5.723
_cell_length_c 5.723
_cell_angle_alpha 60.00
_cell_angle_beta 60.00
_cell_angle_gamma 60.00
loop_
_space_group_symop_operation_xyz
'x,y,z'
loop_
_atom_site_label
_atom_site_fract_x
_atom_site_fract_y
_atom_site_fract_z
Tm1 0.250 0.250 0.250
Nd1 0.000 0.000 0.000
Y1 0.750 0.750 0.750
Sm1 0.500 0.500 0.500
```

Output
Theoretical density (kg/m³): 6920
Total magnetization (μB per formula unit): 0.000

Which is most stable? The ranking, best first, is version Q, version P.

Version P
Material: NdSm6Y12
Method: DFT, GGA-PBE
State: relaxed

Cell and atoms, written as CIF:
```
data_NdSm6Y12
_space_group_name_H-M_alt 'P 1'
_space_group_IT_number 1
_cell_length_a 8.700
_cell_length_b 8.700
_cell_length_c 8.700
_cell_angle_alpha 79.85
_cell_angle_beta 79.85
_cell_angle_gamma 79.85
loop_
_space_group_symop_operation_xyz
'x,y,z'
loop_
_atom_site_label
_atom_site_fract_x
_atom_site_fract_y
_atom_site_fract_z
Y1 0.803 0.483 0.483
Y2 0.483 0.803 0.483
Y3 0.137 0.482 0.137
Y4 0.863 0.863 0.518
Y5 0.483 0.483 0.803
Y6 0.517 0.197 0.517
Y7 0.863 0.518 0.863
Y8 0.518 0.863 0.863
Y9 0.197 0.517 0.517
Y10 0.137 0.137 0.482
Y11 0.482 0.137 0.137
Y12 0.517 0.517 0.197
Sm1 0.836 0.228 0.228
Sm2 0.772 0.164 0.772
Sm3 0.228 0.228 0.836
Sm4 0.164 0.772 0.772
Sm5 0.772 0.772 0.164
Sm6 0.228 0.836 0.228
Nd1 0.000 0.000 0.000
```

Output
Theoretical density (kg/m³): 5563
Total magnetization (μB per formula unit): 0.001

Version Q
Material: NdSm6Y12
Method: DFT, GGA-PBE
State: relaxed

Cell and atoms, written as CIF:
```
data_NdSm6Y12
_space_group_name_H-M_alt 'P 1'
_space_group_IT_number 1
_cell_length_a 8.804
_cell_length_b 9.506
_cell_length_c 9.506
_cell_angle_alpha 69.08
_cell_angle_beta 72.02
_cell_angle_gamma 107.98
loop_
_space_group_symop_operation_xyz
'x,y,z'
loop_
_atom_site_label
_atom_site_fract_x
_atom_site_fract_y
_atom_site_fract_z
Sm1 0.947 0.316 0.474
Sm2 0.053 0.684 0.526
Sm3 0.578 0.526 0.790
Sm4 0.631 0.210 0.316
Sm5 0.369 0.790 0.684
Sm6 0.422 0.474 0.210
Nd1 0.000 0.000 0.000
Y1 0.474 0.158 0.737
Y2 0.842 0.948 0.421
Y3 0.263 0.421 0.631
Y4 0.106 0.369 0.052
Y5 0.211 0.737 0.106
Y6 0.894 0.631 0.948
Y7 0.684 0.894 0.842
Y8 0.789 0.263 0.894
Y9 0.158 0.052 0.579
Y10 0.316 0.106 0.158
Y11 0.526 0.842 0.263
Y12 0.737 0.579 0.369
```

Output
Theoretical density (kg/m³): 5629
Total magnetization (μB per formula unit): 0.000

Which is most stable? The ranking, best first, is version Q, version P.

Version P
Material: Nd4Sm2Y5
Method: DFT, GGA-PBE
State: relaxed

Cell and atoms, written as CIF:
```
data_Nd4Sm2Y5
_space_group_name_H-M_alt 'P 1'
_space_group_IT_number 1
_cell_length_a 5.735
_cell_length_b 6.700
_cell_length_c 10.108
_cell_angle_alpha 89.30
_cell_angle_beta 106.48
_cell_angle_gamma 90.00
loop_
_space_group_symop_operation_xyz
'x,y,z'
loop_
_atom_site_label
_atom_site_fract_x
_atom_site_fract_y
_atom_site_fract_z
Y1 0.500 0.000 0.000
Y2 0.131 0.112 0.262
Y3 0.869 0.888 0.738
Y4 0.790 0.398 0.580
Y5 0.210 0.602 0.420
Nd1 0.022 0.715 0.043
Nd2 0.695 0.925 0.389
Nd3 0.978 0.285 0.957
Nd4 0.305 0.075 0.611
Sm1 0.403 0.551 0.805
Sm2 0.597 0.449 0.195
```

Output
Theoretical density (kg/m³): 5896
Total magnetization (μB per formula unit): 0.000

Version Q
Material: Nd4Sm2Y5
Method: DFT, GGA-PBE
State: relaxed

Cell and atoms, written as CIF:
```
data_Nd4Sm2Y5
_space_group_name_H-M_alt 'P 1'
_space_group_IT_number 1
_cell_length_a 7.571
_cell_length_b 6.777
_cell_length_c 10.089
_cell_angle_alpha 63.13
_cell_angle_beta 67.96
_cell_angle_gamma 56.05
loop_
_space_group_symop_operation_xyz
'x,y,z'
loop_
_atom_site_label
_atom_site_fract_x
_atom_site_fract_y
_atom_site_fract_z
Sm1 0.143 0.840 0.874
Sm2 0.857 0.160 0.126
Y1 0.000 0.500 0.500
Y2 0.652 0.356 0.780
Y3 0.788 0.644 0.220
Y4 0.212 0.356 0.780
Y5 0.348 0.644 0.220
Nd1 0.676 0.773 0.876
Nd2 0.315 0.872 0.498
Nd3 0.324 0.227 0.124
Nd4 0.685 0.128 0.502
```

Output
Theoretical density (kg/m³): 5813
Total magnetization (μB per formula unit): 0.000

Which is most stable? The ranking, best first, is version P, version Q.

Version P
Material: NdSm3Y4
Method: DFT, GGA-PBE
State: relaxed

Cell and atoms, written as CIF:
```
data_NdSm3Y4
_space_group_name_H-M_alt 'P 1'
_space_group_IT_number 1
_cell_length_a 3.468
_cell_length_b 6.793
_cell_length_c 15.467
_cell_angle_alpha 131.20
_cell_angle_beta 96.44
_cell_angle_gamma 90.00
loop_
_space_group_symop_operation_xyz
'x,y,z'
loop_
_atom_site_label
_atom_site_fract_x
_atom_site_fract_y
_atom_site_fract_z
Sm1 0.760 0.780 0.520
Sm2 0.240 0.220 0.480
Sm3 0.000 0.500 0.000
Nd1 0.500 0.000 0.000
Y1 0.625 0.120 0.250
Y2 0.375 0.369 0.750
Y3 0.625 0.631 0.250
Y4 0.375 0.880 0.750
```

Output
Theoretical density (kg/m³): 5825
Total magnetization (μB per formula unit): 0.000

Version Q
Material: NdSm3Y4
Method: DFT, GGA-PBE
State: relaxed

Cell and atoms, written as CIF:
```
data_NdSm3Y4
_space_group_name_H-M_alt 'P 1'
_space_group_IT_number 1
_cell_length_a 6.347
_cell_length_b 7.351
_cell_length_c 11.528
_cell_angle_alpha 90.00
_cell_angle_beta 90.00
_cell_angle_gamma 90.00
loop_
_space_group_symop_operation_xyz
'x,y,z'
loop_
_atom_site_label
_atom_site_fract_x
_atom_site_fract_y
_atom_site_fract_z
Y1 0.982 0.124 0.251
Y2 0.147 0.876 0.500
Y3 0.647 0.124 0.000
Y4 0.982 0.124 0.749
Y5 0.647 0.124 0.500
Y6 0.147 0.876 0.000
Y7 0.482 0.876 0.751
Y8 0.482 0.876 0.249
Sm1 0.480 0.374 0.250
Sm2 0.480 0.374 0.750
Sm3 0.149 0.374 0.500
Sm4 0.649 0.626 0.000
Sm5 0.980 0.626 0.250
Sm6 0.980 0.626 0.750
Nd1 0.649 0.625 0.500
Nd2 0.149 0.375 0.000
```

Output
Theoretical density (kg/m³): 5871
Total magnetization (μB per formula unit): 0.001

Which is most stable? The ranking, best first, is version Q, version P.